<P>
Entry from Alexandria: SiTcAuC after structural relaxation (GGA-PBE).

abc: 3.423 3.423 5.779
angles: 90.52 90.52 60.32
Atoms (fractional coordinates):
1 Si 0.000 0.000 0.000
2 Tc 0.328 0.328 0.338
3 Au 0.664 0.664 0.727
4 C 0.993 0.993 0.330

<Q>
Entry from Alexandria: SiTcAuC after structural relaxation (GGA-PBE).

abc: 2.840 2.935 6.456
angles: 90.00 90.00 90.00
Atoms (fractional coordinates):
1 Si 0.000 0.000 0.000
2 Tc 0.000 0.500 0.323
3 Au 0.500 0.000 0.673
4 C 0.500 0.000 0.208

Referenced to the most stable arrangement, the calculated values in meV/atom are <P> 85; <Q> 0.

<P>
Entry from Alexandria: SiTcAuC after structural relaxation (GGA-PBE).

abc: 2.857 2.857 6.948
angles: 90.00 90.00 90.00
Atoms (fractional coordinates):
1 Si 0.000 0.000 0.000
2 Tc 0.500 0.500 0.239
3 Au 0.000 0.000 0.654
4 C 0.000 0.000 0.346

<Q>
Entry from Alexandria: SiTcAuC after structural relaxation (GGA-PBE).

abc: 3.692 3.692 6.634
angles: 112.42 112.42 48.40
Atoms (fractional coordinates):
1 Si 0.000 0.000 0.000
2 Tc 0.594 0.594 0.744
3 Au 0.160 0.160 0.392
4 C 0.314 0.314 0.793

Referenced to the most stable arrangement, the calculated values in meV/atom are <P> 0; <Q> 69.